The following is a DFT calculation (GGA+U) of a relaxed structure of Mn2CrWF.

- Crystal system: tetragonal
- Total energy: -5.684 eV/atom

Unit cell a=5.446 b=5.446 c=4.147 alpha=90.00 beta=90.00 gamma=90.00
Element x y z (fractional)
Mn1 0.000 0.500 0.000
Mn2 0.500 0.000 0.000
Cr1 0.000 0.000 0.500
W1 0.500 0.500 0.000
F1 0.500 0.500 0.500